A plane-wave DFT calculation with GGA-PBE was carried out for an optimized crystal structure of Ca2YRh.

a = 5.861 Å, b = 5.861 Å, c = 3.472 Å
α = 90.00°, β = 90.00°, γ = 117.49°
Fractional positions:
Ca 0.000 0.500 0.000
Ca 0.500 0.000 0.000
Y 0.000 0.000 0.500
Rh 0.500 0.500 0.500

Results
For the energy of formation from the pure elements, the calculation gives 132.7 meV per atom. Its offset from the most stable computed form is 184 kJ/mol of formula units.

***

A plane-wave DFT calculation with GGA-PBE was carried out for an optimized crystal structure of SrPrPt4.

a = 5.553 Å, b = 5.553 Å, c = 5.553 Å
α = 60.00°, β = 60.00°, γ = 60.00°
Fractional positions:
Sr 0.000 0.000 0.000
Pr 0.750 0.750 0.750
Pt 0.375 0.375 0.375
Pt 0.375 0.375 0.875
Pt 0.375 0.875 0.375
Pt 0.875 0.375 0.375

Results
For the energy of formation from the pure elements, the calculation gives -958.6 meV per atom.

***

A plane-wave DFT calculation with GGA-PBE was carried out for an optimized crystal structure of LiMnSi2S6.

a = 8.673 Å, b = 8.673 Å, c = 6.690 Å
α = 112.32°, β = 112.32°, γ = 75.50°
Fractional positions:
Li 0.235 0.765 0.750
Li 0.765 0.235 0.250
Mn 0.310 0.690 0.250
Mn 0.690 0.310 0.750
Si 0.127 0.318 0.758
Si 0.318 0.127 0.258
Si 0.682 0.873 0.742
Si 0.873 0.682 0.242
S 0.119 0.175 0.404
S 0.132 0.578 0.325
S 0.175 0.119 0.904
S 0.286 0.506 0.887
S 0.422 0.868 0.175
S 0.494 0.714 0.613
S 0.506 0.286 0.387
S 0.578 0.132 0.825
S 0.714 0.494 0.113
S 0.825 0.881 0.096
S 0.868 0.422 0.675
S 0.881 0.825 0.596

Results
The raw formation energy comes out at -0.615 eV/atom.

***

A plane-wave DFT calculation with GGA-PBE was carried out for an optimized crystal structure of Pr8NiIr3Br3.

a = 8.374 Å, b = 8.374 Å, c = 9.084 Å
α = 117.36°, β = 117.36°, γ = 60.07°
Fractional positions:
Pr 0.231 0.231 0.696
Pr 0.231 0.733 0.697
Pr 0.267 0.267 0.300
Pr 0.267 0.769 0.303
Pr 0.733 0.231 0.697
Pr 0.733 0.733 0.700
Pr 0.769 0.267 0.303
Pr 0.769 0.769 0.304
Ni 0.000 0.000 0.500
Ir 0.000 0.500 0.500
Ir 0.500 0.000 0.500
Ir 0.500 0.500 0.500
Br 0.000 0.000 0.000
Br 0.000 0.500 0.000
Br 0.500 0.000 0.000

Results
The raw formation energy comes out at -0.874 eV/atom.

***

A plane-wave DFT calculation with GGA-PBE was carried out for an optimized crystal structure of BaNa4Ag2.

a = 10.269 Å, b = 10.269 Å, c = 4.749 Å
α = 90.00°, β = 90.00°, γ = 153.09°
Fractional positions:
Ba 0.000 0.000 0.000
Na 0.174 0.826 0.500
Na 0.326 0.674 0.000
Na 0.674 0.326 0.000
Na 0.826 0.174 0.500
Ag 0.430 0.570 0.500
Ag 0.570 0.430 0.500

Results
For the energy of formation from the pure elements, the calculation gives -82.5 meV per atom.

***

A plane-wave DFT calculation with GGA-PBE was carried out for an optimized crystal structure of YReSi2Os.

a = 5.772 Å, b = 5.772 Å, c = 5.772 Å
α = 137.94°, β = 137.94°, γ = 61.00°
Fractional positions:
Y 0.000 0.000 0.000
Re 0.250 0.750 0.500
Si 0.376 0.376 0.000
Si 0.624 0.624 0.000
Os 0.750 0.250 0.500

Results
The raw formation energy comes out at -0.572 eV/atom.

***

A plane-wave DFT calculation with GGA-PBE was carried out for an optimized crystal structure of InSnAu4.

a = 7.899 Å, b = 7.899 Å, c = 3.249 Å
α = 98.53°, β = 98.53°, γ = 39.94°
Fractional positions:
In 0.000 0.000 0.000
Sn 0.797 0.797 0.231
Au 0.319 0.319 0.817
Au 0.397 0.897 0.628
Au 0.477 0.477 0.415
Au 0.897 0.397 0.628

Results
For the energy of formation from the pure elements, the calculation gives -7.6 meV per atom. Its offset from the most stable computed form is 28 kJ/mol of formula units.

***

A plane-wave DFT calculation with GGA-PBE was carried out for an optimized crystal structure of TbAl3Pt.

a = 4.241 Å, b = 4.241 Å, c = 6.149 Å
α = 110.10°, β = 110.10°, γ = 90.07°
Fractional positions:
Tb 0.000 0.000 0.000
Al 0.243 0.742 0.486
Al 0.587 0.587 0.175
Al 0.742 0.243 0.486
Pt 0.362 0.362 0.725

Results
For the energy of formation from the pure elements, the calculation gives -827.6 meV per atom. Its offset from the most stable computed form is 0 kJ/mol of formula units.

***

A plane-wave DFT calculation with GGA-PBE was carried out for an optimized crystal structure of Rb2PuSnSe4.

a = 7.598 Å, b = 4.333 Å, c = 8.236 Å
α = 90.00°, β = 107.25°, γ = 90.00°
Fractional positions:
Rb 0.000 0.000 0.000
Rb 0.500 0.500 0.000
Pu 0.000 0.500 0.500
Sn 0.500 0.000 0.500
Se 0.221 0.000 0.692
Se 0.253 0.500 0.306
Se 0.747 0.500 0.694
Se 0.779 0.000 0.308

Results
The raw formation energy comes out at -1.091 eV/atom.

***

A plane-wave DFT calculation with GGA-PBE was carried out for an optimized crystal structure of K2MgTc.

a = 6.869 Å, b = 6.869 Å, c = 2.914 Å
α = 100.24°, β = 100.24°, γ = 125.55°
Fractional positions:
K 0.000 0.500 0.000
K 0.500 0.000 0.000
Mg 0.000 0.000 0.500
Tc 0.500 0.500 0.500

Results
For the energy of formation from the pure elements, the calculation gives 1109.7 meV per atom.

***

A plane-wave DFT calculation with GGA-PBE was carried out for an optimized crystal structure of V6PH.

a = 4.573 Å, b = 5.106 Å, c = 5.386 Å
α = 67.11°, β = 68.35°, γ = 64.25°
Fractional positions:
V 0.020 0.243 0.225
V 0.308 0.063 0.748
V 0.438 0.609 0.185
V 0.562 0.391 0.815
V 0.692 0.937 0.252
V 0.980 0.757 0.775
P 0.000 0.500 0.500
H 0.500 0.000 0.000

***

A plane-wave DFT calculation with GGA-PBE was carried out for an optimized crystal structure of Pm3Pr2Cd6.

a = 14.841 Å, b = 14.841 Å, c = 14.841 Å
α = 160.39°, β = 160.39°, γ = 27.87°
Fractional positions:
Pm 0.000 0.000 0.000
Pm 0.137 0.137 0.000
Pm 0.863 0.863 0.000
Pr 0.364 0.364 0.000
Pr 0.636 0.636 0.000
Cd 0.065 0.565 0.500
Cd 0.250 0.250 0.000
Cd 0.435 0.935 0.500
Cd 0.565 0.065 0.500
Cd 0.750 0.750 0.000
Cd 0.935 0.435 0.500

Results
For the energy of formation from the pure elements, the calculation gives 79.7 meV per atom.

***

A plane-wave DFT calculation with GGA-PBE was carried out for an optimized crystal structure of LaNdDyTl.

a = 5.632 Å, b = 5.632 Å, c = 5.632 Å
α = 60.00°, β = 60.00°, γ = 60.00°
Fractional positions:
La 0.000 0.000 0.000
Nd 0.500 0.500 0.500
Dy 0.750 0.750 0.750
Tl 0.250 0.250 0.250

Results
For the energy of formation from the pure elements, the calculation gives -82.8 meV per atom. Its offset from the most stable computed form is 0 kJ/mol of formula units.

***

Uncorrected energy
In order: -4.322, -6.063, -5.285, -5.915, -1.926, -8.769, -3.316, -5.207, -5.367, -2.429, -7.978, -2.584, -4.249
Unit: eV per atom